First-principles (PBE) data for a relaxed NbHg2BC crystal, as listed in Alexandria via LeMat-Bulk.

## Properties
E_form, meV/atom: 1857

a = 5.5467 Å, b = 5.5467 Å, c = 3.9892 Å
α = 90.00°, β = 90.00°, γ = 90.00°
Last column: nearest neighbours and their distance in Å.
Sites, in units of the cell vectors:
Nb (0.0000, 0.0000, 0.0000)  2 C 1.99
Hg (0.0000, 0.5000, 0.0000)  2 Nb 2.77
Hg (0.5000, 0.0000, 0.0000)  2 Nb 2.77
B (0.5000, 0.5000, 0.5000)  8 Hg 3.42
C (0.0000, 0.0000, 0.5000)  2 Nb 1.99



First-principles (PBE) data for a relaxed Mg2BeB crystal, as listed in Alexandria via LeMat-Bulk.

## Properties
E_form, meV/atom: 146
Energy above the lowest structure with this stoichiometry, meV/atom: 45

a = 5.2749 Å, b = 5.2749 Å, c = 8.4265 Å
α = 122.96°, β = 122.96°, γ = 37.37°
Last column: nearest neighbours and their distance in Å.
Sites, in units of the cell vectors:
Mg (0.0000, 0.0000, 0.0000)  2 B 2.30-2.51
Mg (0.4008, 0.4008, 0.5034)  3 B 2.42-2.47, 3 Be 2.58-2.59
Mg (0.5949, 0.5949, 0.3464)  1 B 2.42
Mg (0.7753, 0.7753, 0.1029)  1 B 2.81, 5 Mg 2.83-3.12, 2 Be 2.86
Be (0.0982, 0.0982, 0.7693)  3 B 2.12-2.13, 1 Be 2.12
Be (0.2574, 0.2574, 0.6784)  4 B 1.90-1.94
B (0.7018, 0.7018, 0.7272)  1 B 1.80, 2 Be 1.90
B (0.8477, 0.8477, 0.6670)  1 B 1.80, 2 Be 1.94



First-principles (PBE) data for a relaxed La6Pr3Ho crystal, as listed in Alexandria via LeMat-Bulk.

## Properties
E_form, meV/atom: 228
Energy above the lowest structure with this stoichiometry, meV/atom: 118

a = 7.0395 Å, b = 7.0395 Å, c = 8.9410 Å
α = 104.12°, β = 104.12°, γ = 58.92°
Last column: nearest neighbours and their distance in Å.
Sites, in units of the cell vectors:
La (0.0216, 0.4663, 0.6746)  3 La 3.08-3.21, 1 Pr 3.45
La (0.1993, 0.1993, 0.0262)  2 La 3.21, 1 Pr 3.46
La (0.4663, 0.0216, 0.6746)  3 La 3.08-3.21, 1 Pr 3.45
La (0.5337, 0.9784, 0.3254)  3 La 3.08-3.21, 1 Pr 3.45
La (0.8007, 0.8007, 0.9738)  2 La 3.21, 1 Pr 3.46
La (0.9784, 0.5337, 0.3254)  3 La 3.08-3.21, 1 Pr 3.45
Pr (0.0206, 0.0206, 0.3144)  6 La 3.45-3.82, 1 Pr 3.49
Pr (0.5000, 0.5000, 0.0000)  10 La 3.76-4.21
Pr (0.9794, 0.9794, 0.6856)  6 La 3.45-3.82, 1 Pr 3.49
Ho (0.5000, 0.5000, 0.5000)  4 La 3.53, 4 Pr 3.88



First-principles (PBE) data for a relaxed RuAu3 crystal, as listed in Alexandria via LeMat-Bulk.

## Properties
E_form, meV/atom: 525

a = 5.2170 Å, b = 5.2170 Å, c = 5.2170 Å
α = 90.00°, β = 90.00°, γ = 90.00°
Last column: nearest neighbours and their distance in Å.
Sites, in units of the cell vectors:
Ru (0.0000, 0.0000, 0.0000)  12 Au 2.92
Ru (0.5000, 0.5000, 0.5000)  12 Au 2.92
Au (0.0000, 0.2500, 0.5000)  2 Au 2.61, 4 Ru 2.92
Au (0.0000, 0.7500, 0.5000)  2 Au 2.61, 4 Ru 2.92
Au (0.2500, 0.5000, 0.0000)  2 Au 2.61, 4 Ru 2.92
Au (0.5000, 0.0000, 0.2500)  2 Au 2.61, 4 Ru 2.92
Au (0.5000, 0.0000, 0.7500)  2 Au 2.61, 4 Ru 2.92
Au (0.7500, 0.5000, 0.0000)  2 Au 2.61, 4 Ru 2.92



First-principles (PBE) data for a relaxed Hf3TiSi crystal, as listed in Alexandria via LeMat-Bulk.

## Properties
ΔE_f (raw), meV/atom: 407
Energy above the lowest structure with this stoichiometry, meV/atom: 0

a = 4.8878 Å, b = 4.8878 Å, c = 4.8878 Å
α = 90.00°, β = 90.00°, γ = 90.00°
Last column: nearest neighbours and their distance in Å.
Sites, in units of the cell vectors:
Hf (0.0000, 0.0000, 0.5000)  2 Si 2.44
Hf (0.0000, 0.5000, 0.0000)  2 Si 2.44
Hf (0.5000, 0.0000, 0.0000)  2 Si 2.44
Ti (0.5000, 0.5000, 0.5000)  12 Hf 3.46
Si (0.0000, 0.0000, 0.0000)  6 Hf 2.44



First-principles (PBE) data for a relaxed Cd2AsIr crystal, as listed in Alexandria via LeMat-Bulk.

## Properties
E_form, meV/atom: 318

a = 4.8659 Å, b = 4.8659 Å, c = 3.1572 Å
α = 90.00°, β = 90.00°, γ = 90.00°
Last column: nearest neighbours and their distance in Å.
Sites, in units of the cell vectors:
Cd (0.0000, 0.5000, 0.0000)  4 As 2.90, 4 Ir 2.90, 2 Cd 3.16
Cd (0.5000, 0.0000, 0.0000)  4 As 2.90, 4 Ir 2.90, 2 Cd 3.16
As (0.0000, 0.0000, 0.5000)  8 Cd 2.90, 2 As 3.16
Ir (0.5000, 0.5000, 0.5000)  8 Cd 2.90, 2 Ir 3.16



| no. | total energy (eV for the cell shown) |
| --- | --- |
| 1 | -17.29 |
| 2 | -26.02 |
| 3 | -46.20 |
| 4 | -34.01 |
| 5 | -41.14 |
| 6 | -14.07 |